VASP calculation (PBE with a Hubbard U) on crystalline Na2TlWO6 at its relaxed geometry.

Cell lengths 5.8300, 5.8300, 5.8300 Å; angles 58.42, 58.42, 58.42 degrees
Last column: nearest neighbours and their distance in Å.
Sites, in units of the cell vectors:
Na (0.0000, 0.0000, 0.0000)  6 O 2.37-2.53
Na (0.4998, 0.4998, 0.4998)  6 O 2.34-2.60
Tl (0.2705, 0.2705, 0.2705)  6 O 2.23-2.33
W (0.7706, 0.7706, 0.7706)  6 O 1.89-2.01
O (0.0178, 0.4528, 0.6427)  1 W 1.89
O (0.1020, 0.9101, 0.5699)  1 W 2.01, 1 Tl 2.23
O (0.4528, 0.6427, 0.0178)  1 W 1.89
O (0.5699, 0.1020, 0.9101)  1 W 2.01, 1 Tl 2.23
O (0.6427, 0.0178, 0.4528)  1 W 1.89
O (0.9101, 0.5699, 0.1020)  1 W 2.01, 1 Tl 2.23

## Properties
Crystal system   trigonal
VASP energy   -5.6242 eV/atom